ZrTlF2: optimized geometry, PBE.

a b c (Å): 4.5511 4.5511 4.5511
angles (deg): 60.00 60.00 60.00
With the nearest neighbours (Å) after each atom.
Sites, in units of the cell vectors:
Zr 0.0000 0.0000 0.0000  8 F 2.79
Tl 0.5000 0.5000 0.5000  8 F 2.79
F 0.2500 0.2500 0.2500  4 Zr 2.79, 4 Tl 2.79
F 0.7500 0.7500 0.7500  4 Tl 2.79, 4 Zr 2.79

Output
* volume: 66.7 Å³/cell
* SG: No. 225
* distance to the lowest polymorph of the same formula: 730.8 meV per atom
* M_tot: 1.892 μB per formula unit

***

Be2PAu: optimized geometry, PBE.

a b c (Å): 3.3761 3.3761 5.8816
angles (deg): 107.07 107.07 59.99
With the nearest neighbours (Å) after each atom.
Sites, in units of the cell vectors:
Be 0.2306 0.2306 0.1892  3 P 2.21-2.22
Be 0.7694 0.7694 0.8108  3 P 2.21-2.22
P 0.5000 0.5000 0.0000  6 Be 2.21-2.22
Au 0.0000 0.0000 0.5000  6 Be 2.59-2.61

Output
* volume: 54.6 Å³/cell
* SG: No. 12
* formation enthalpy at 0 K: 0.1072 eV/atom
* M_tot: 0.000 μB per formula unit

***

Tb2Be3GaAu4: optimized geometry, PBE.

a b c (Å): 4.3050 4.3050 9.4410
angles (deg): 90.00 90.00 90.00
With the nearest neighbours (Å) after each atom.
Sites, in units of the cell vectors:
Tb 0.0000 0.5000 0.2485  7 Be 3.18-3.43, 2 Ga 3.18, 8 Au 3.20
Tb 0.5000 0.0000 0.7515  7 Be 3.18-3.43, 2 Ga 3.18, 8 Au 3.20
Be 0.0000 0.0000 0.0000  4 Au 2.55
Be 0.0000 0.5000 0.6118  5 Au 2.30-2.40
Be 0.5000 0.0000 0.3882  5 Au 2.30-2.40
Ga 0.5000 0.5000 0.0000  4 Au 2.55
Au 0.0000 0.0000 0.5000  4 Be 2.40
Au 0.0000 0.5000 0.8557  3 Be 2.30-2.55, 2 Ga 2.55
Au 0.5000 0.0000 0.1443  3 Be 2.30-2.55, 2 Ga 2.55
Au 0.5000 0.5000 0.5000  4 Be 2.40

Output
* volume: 175.0 Å³/cell
* SG: No. 115
* formation enthalpy at 0 K: -0.5032 eV/atom
* M_tot: 0.000 μB per formula unit

***

Tl2BPb: optimized geometry, PBE.

a b c (Å): 5.2849 5.2849 5.2849
angles (deg): 60.00 60.00 60.00
With the nearest neighbours (Å) after each atom.
Sites, in units of the cell vectors:
Tl 0.2500 0.2500 0.2500  4 Pb 3.24, 4 B 3.24
Tl 0.7500 0.7500 0.7500  4 Pb 3.24, 4 B 3.24
B 0.0000 0.0000 0.0000  8 Tl 3.24
Pb 0.5000 0.5000 0.5000  8 Tl 3.24

Output
* volume: 104.4 Å³/cell
* SG: No. 225
* distance to the lowest polymorph of the same formula: 246.9 meV per atom
* formation enthalpy at 0 K: 1.0154 eV/atom
* M_tot: 0.000 μB per formula unit

***

Tb3Ni2Rh7: optimized geometry, PBE.

a b c (Å): 9.0220 9.0220 9.0220
angles (deg): 33.92 33.92 33.92
With the nearest neighbours (Å) after each atom.
Sites, in units of the cell vectors:
Tb 0.0000 0.0000 0.0000  6 Ni 3.04, 12 Rh 3.33
Tb 0.1395 0.1395 0.1395  12 Rh 3.04-3.27, 3 Tb 3.34
Tb 0.8605 0.8605 0.8605  12 Rh 3.04-3.27, 3 Tb 3.34
Ni 0.3333 0.3333 0.3333  6 Rh 2.53-2.55
Ni 0.6667 0.6667 0.6667  6 Rh 2.53-2.55
Rh 0.0781 0.5807 0.5807  2 Ni 2.53-2.55, 5 Rh 2.62-2.69
Rh 0.4193 0.4193 0.9219  2 Ni 2.53-2.55, 5 Rh 2.62-2.69
Rh 0.4193 0.9219 0.4193  2 Ni 2.53-2.55, 5 Rh 2.62-2.69
Rh 0.5000 0.5000 0.5000  6 Rh 2.69
Rh 0.5807 0.0781 0.5807  2 Ni 2.53-2.55, 5 Rh 2.62-2.69
Rh 0.5807 0.5807 0.0781  2 Ni 2.53-2.55, 5 Rh 2.62-2.69
Rh 0.9219 0.4193 0.4193  2 Ni 2.53-2.55, 5 Rh 2.62-2.69

Output
* volume: 203.8 Å³/cell
* SG: No. 166
* formation enthalpy at 0 K: -0.5671 eV/atom
* M_tot: 0.000 μB per formula unit

***

CsZnF3: optimized geometry, PBE.

a b c (Å): 7.9585 7.9585 7.9585
angles (deg): 60.00 60.00 60.00
With the nearest neighbours (Å) after each atom.
Sites, in units of the cell vectors:
Cs 0.0000 0.0000 0.0000  6 F 2.90
Cs 0.0000 0.0000 0.5000  6 F 2.90
Cs 0.0000 0.5000 0.0000  6 F 2.90
Cs 0.5000 0.0000 0.0000  6 F 2.90
Zn 0.0000 0.5000 0.5000  6 F 2.11
Zn 0.5000 0.0000 0.5000  6 F 2.11
Zn 0.5000 0.5000 0.0000  6 F 2.11
Zn 0.5000 0.5000 0.5000  6 F 2.11
F 0.1873 0.1873 0.5627  2 Zn 2.11
F 0.1873 0.5627 0.1873  2 Zn 2.11
F 0.1873 0.5627 0.5627  2 Zn 2.11
F 0.4373 0.4373 0.8127  2 Zn 2.11
F 0.4373 0.8127 0.4373  2 Zn 2.11
F 0.4373 0.8127 0.8127  2 Zn 2.11
F 0.5627 0.1873 0.1873  2 Zn 2.11
F 0.5627 0.1873 0.5627  2 Zn 2.11
F 0.5627 0.5627 0.1873  2 Zn 2.11
F 0.8127 0.4373 0.4373  2 Zn 2.11
F 0.8127 0.4373 0.8127  2 Zn 2.11
F 0.8127 0.8127 0.4373  2 Zn 2.11

Output
* volume: 356.4 Å³/cell
* SG: No. 227
* M_tot: 0.000 μB per formula unit
* uncorrected energy: -79.47 eV for the cell shown

***

HoTmPb2: optimized geometry, PBE.

a b c (Å): 5.0469 5.0469 4.3737
angles (deg): 90.00 90.00 90.00
With the nearest neighbours (Å) after each atom.
Sites, in units of the cell vectors:
Ho 0.0000 0.0000 0.0000  8 Pb 3.34, 4 Tm 3.57
Tm 0.5000 0.5000 0.0000  8 Pb 3.34, 4 Ho 3.57
Pb 0.0000 0.5000 0.5000  4 Ho 3.34, 4 Tm 3.34, 4 Pb 3.57
Pb 0.5000 0.0000 0.5000  4 Ho 3.34, 4 Tm 3.34, 4 Pb 3.57

Output
* volume: 111.4 Å³/cell
* SG: No. 123
* formation enthalpy at 0 K: -0.3853 eV/atom
* M_tot: 0.000 μB per formula unit

***

LaZrRh2: optimized geometry, PBE.

a b c (Å): 4.8842 4.8842 3.4191
angles (deg): 90.00 90.00 90.00
With the nearest neighbours (Å) after each atom.
Sites, in units of the cell vectors:
La 0.0000 0.0000 0.0000  8 Rh 2.98
Zr 0.5000 0.5000 0.0000  8 Rh 2.98
Rh 0.0000 0.5000 0.5000  4 Zr 2.98, 4 La 2.98
Rh 0.5000 0.0000 0.5000  4 Zr 2.98, 4 La 2.98

Output
* volume: 81.6 Å³/cell
* SG: No. 123
* formation enthalpy at 0 K: -0.5851 eV/atom
* M_tot: 0.000 μB per formula unit

***

Mn3PdPt12: optimized geometry, PBE.

a b c (Å): 3.9275 3.9275 15.8397
angles (deg): 90.00 90.00 90.00
With the nearest neighbours (Å) after each atom.
Sites, in units of the cell vectors:
Mn 0.0000 0.0000 0.0000  12 Pt 2.78
Mn 0.0000 0.0000 0.2490  12 Pt 2.76-2.79
Mn 0.0000 0.0000 0.7510  12 Pt 2.76-2.79
Pd 0.0000 0.0000 0.5000  12 Pt 2.78-2.83
Pt 0.0000 0.5000 0.1242  8 Pt 2.77-2.78, 4 Mn 2.78-2.79
Pt 0.0000 0.5000 0.3714  2 Mn 2.76, 8 Pt 2.77-2.83, 2 Pd 2.83
Pt 0.0000 0.5000 0.6286  2 Mn 2.76, 8 Pt 2.77-2.83, 2 Pd 2.83
Pt 0.0000 0.5000 0.8758  8 Pt 2.77-2.78, 4 Mn 2.78-2.79
Pt 0.5000 0.0000 0.1242  8 Pt 2.77-2.78, 4 Mn 2.78-2.79
Pt 0.5000 0.0000 0.3714  2 Mn 2.76, 8 Pt 2.77-2.83, 2 Pd 2.83
Pt 0.5000 0.0000 0.6286  2 Mn 2.76, 8 Pt 2.77-2.83, 2 Pd 2.83
Pt 0.5000 0.0000 0.8758  8 Pt 2.77-2.78, 4 Mn 2.78-2.79
Pt 0.5000 0.5000 0.0000  4 Mn 2.78, 8 Pt 2.78
Pt 0.5000 0.5000 0.2480  8 Pt 2.77, 4 Mn 2.78
Pt 0.5000 0.5000 0.5000  4 Pd 2.78, 8 Pt 2.83
Pt 0.5000 0.5000 0.7520  8 Pt 2.77, 4 Mn 2.78

Output
* volume: 244.3 Å³/cell
* SG: No. 123
* formation enthalpy at 0 K: -0.2826 eV/atom
* M_tot: 13.427 μB per formula unit

***

ReAg2SbAu: optimized geometry, PBE.

a b c (Å): 5.1476 5.1476 4.9928
angles (deg): 90.00 90.00 90.00
With the nearest neighbours (Å) after each atom.
Sites, in units of the cell vectors:
Re 0.0000 0.0000 0.0000  2 Sb 2.50, 4 Ag 2.57
Ag 0.0000 0.5000 0.0000  2 Re 2.57
Ag 0.5000 0.0000 0.0000  2 Re 2.57
Sb 0.0000 0.0000 0.5000  2 Re 2.50
Au 0.5000 0.5000 0.5000  8 Ag 3.59, 4 Sb 3.64

Output
* volume: 132.3 Å³/cell
* SG: No. 123
* M_tot: 0.483 μB per formula unit
* uncorrected energy: -19.32 eV for the cell shown

***

CoAsN3: optimized geometry, PBE.

a b c (Å): 3.6815 3.6815 3.6815
angles (deg): 90.00 90.00 90.00
With the nearest neighbours (Å) after each atom.
Sites, in units of the cell vectors:
Co 0.0000 0.0000 0.0000  6 N 1.84
As 0.5000 0.5000 0.5000  12 N 2.60
N 0.0000 0.0000 0.5000  2 Co 1.84
N 0.0000 0.5000 0.0000  2 Co 1.84
N 0.5000 0.0000 0.0000  2 Co 1.84

Output
* volume: 49.9 Å³/cell
* SG: No. 221
* M_tot: 0.001 μB per formula unit
* uncorrected energy: -28.87 eV for the cell shown